This record from Alexandria via LeMat-Bulk describes a relaxed structure of Pr6Si3S14. The functional is PBE.

Lattice parameters (Å, degrees): 10.324 10.324 5.753 90.00 90.00 120.00
Fractional positions:
Pr (0.027, 0.571, 0.000)
Pr (0.312, 0.099, 0.511)
Pr (0.429, 0.456, 0.000)
Pr (0.544, 0.973, 0.000)
Pr (0.787, 0.688, 0.511)
Pr (0.901, 0.213, 0.511)
Si (0.000, 0.000, 0.925)
Si (0.333, 0.667, 0.414)
Si (0.667, 0.333, 0.252)
S (0.000, 0.000, 0.291)
S (0.074, 0.856, 0.780)
S (0.144, 0.218, 0.780)
S (0.188, 0.448, 0.271)
S (0.260, 0.812, 0.271)
S (0.333, 0.667, 0.781)
S (0.424, 0.173, 0.027)
S (0.497, 0.418, 0.511)
S (0.552, 0.740, 0.271)
S (0.582, 0.080, 0.511)
S (0.750, 0.576, 0.027)
S (0.782, 0.926, 0.780)
S (0.827, 0.250, 0.027)
S (0.920, 0.503, 0.511)

Computed properties:
The calculation puts the uncorrected formation energy at -1.54 eV per atom. The calculation puts the energy at -6.009 eV/atom.

This record from Alexandria via LeMat-Bulk describes a relaxed structure of LaErFe. The functional is PBE.

Lattice parameters (Å, degrees): 7.019 7.019 7.019 152.06 152.06 39.92
Fractional positions:
La (0.000, 0.000, 0.000)
Er (0.753, 0.753, 0.000)
Fe (0.370, 0.370, 0.000)

Computed properties:
As for the energy relative to the elements: 108 meV per atom. The calculation puts the energy at -5.876 eV/atom. As for the offset from the most stable computed form: 68.0 meV/atom.

Copy entry 1 word for word.
This record from Alexandria via LeMat-Bulk describes a relaxed structure of Pr6Si3S14. The functional is PBE.

Lattice parameters (Å, degrees): 10.324 10.324 5.753 90.00 90.00 120.00
Fractional positions:
Pr (0.027, 0.571, 0.000)
Pr (0.312, 0.099, 0.511)
Pr (0.429, 0.456, 0.000)
Pr (0.544, 0.973, 0.000)
Pr (0.787, 0.688, 0.511)
Pr (0.901, 0.213, 0.511)
Si (0.000, 0.000, 0.925)
Si (0.333, 0.667, 0.414)
Si (0.667, 0.333, 0.252)
S (0.000, 0.000, 0.291)
S (0.074, 0.856, 0.780)
S (0.144, 0.218, 0.780)
S (0.188, 0.448, 0.271)
S (0.260, 0.812, 0.271)
S (0.333, 0.667, 0.781)
S (0.424, 0.173, 0.027)
S (0.497, 0.418, 0.511)
S (0.552, 0.740, 0.271)
S (0.582, 0.080, 0.511)
S (0.750, 0.576, 0.027)
S (0.782, 0.926, 0.780)
S (0.827, 0.250, 0.027)
S (0.920, 0.503, 0.511)

Computed properties:
The calculation puts the uncorrected formation energy at -1.54 eV per atom. The calculation puts the energy at -6.009 eV/atom.